1:
The following is a PBE calculation of a relaxed structure of KAc2Te3, from Alexandria via LeMat-Bulk.

Unit cell a=4.769 b=4.769 c=24.641 alpha=90.00 beta=90.00 gamma=120.00
Sites, in units of the cell vectors:
K 0.000 0.000 0.250
K 0.000 0.000 0.750
Ac 0.333 0.667 0.080
Ac 0.333 0.667 0.420
Ac 0.667 0.333 0.580
Ac 0.667 0.333 0.920
Te 0.000 0.000 0.000
Te 0.000 0.000 0.500
Te 0.333 0.667 0.656
Te 0.333 0.667 0.844
Te 0.667 0.333 0.156
Te 0.667 0.333 0.344

2:
The following is a PBE calculation of a relaxed structure of KAc2Te3, from Alexandria via LeMat-Bulk.

Unit cell a=8.380 b=8.380 c=8.380 alpha=146.95 beta=132.37 gamma=59.20
Sites, in units of the cell vectors:
K 0.000 0.000 0.000
Ac 0.337 0.337 0.000
Ac 0.663 0.663 0.000
Te 0.175 0.675 0.500
Te 0.500 0.000 0.500
Te 0.825 0.325 0.500

Relative stability in kJ/mol of atoms, measured from the most stable structure: 1 0.0; 2 1.7

1:
The following is a PBE calculation of a relaxed structure of KAcTe4, from Alexandria via LeMat-Bulk.

Unit cell a=6.650 b=6.650 c=6.650 alpha=60.00 beta=60.00 gamma=60.00
Sites, in units of the cell vectors:
K 0.000 0.000 0.000
Ac 0.750 0.750 0.750
Te 0.375 0.375 0.375
Te 0.375 0.375 0.874
Te 0.375 0.874 0.375
Te 0.874 0.375 0.375

2:
The following is a PBE calculation of a relaxed structure of KAcTe4, from Alexandria via LeMat-Bulk.

Unit cell a=7.113 b=7.113 c=9.179 alpha=90.00 beta=90.00 gamma=90.00
Sites, in units of the cell vectors:
K 0.250 0.250 0.000
K 0.750 0.750 0.000
Ac 0.250 0.250 0.500
Ac 0.750 0.750 0.500
Te 0.109 0.609 0.276
Te 0.109 0.891 0.724
Te 0.391 0.609 0.724
Te 0.391 0.891 0.276
Te 0.609 0.109 0.724
Te 0.609 0.391 0.276
Te 0.891 0.109 0.276
Te 0.891 0.391 0.724

Relative stability in kJ/mol of atoms, measured from the most stable structure: 1 63.5; 2 0.0

1:
The following is a PBE calculation of a relaxed structure of KAc3Te4, from Alexandria via LeMat-Bulk.

Unit cell a=8.305 b=8.305 c=4.732 alpha=90.00 beta=90.00 gamma=108.87
Sites, in units of the cell vectors:
K 0.000 0.000 0.000
Ac 0.000 0.500 0.500
Ac 0.500 0.000 0.500
Ac 0.500 0.500 0.000
Te 0.251 0.749 0.000
Te 0.257 0.257 0.500
Te 0.743 0.743 0.500
Te 0.749 0.251 0.000

2:
The following is a PBE calculation of a relaxed structure of KAc3Te4, from Alexandria via LeMat-Bulk.

Unit cell a=4.783 b=4.783 c=32.116 alpha=90.00 beta=90.00 gamma=120.00
Sites, in units of the cell vectors:
K 0.333 0.667 0.250
K 0.667 0.333 0.750
Ac 0.000 0.000 0.000
Ac 0.000 0.000 0.500
Ac 0.333 0.667 0.619
Ac 0.333 0.667 0.881
Ac 0.667 0.333 0.119
Ac 0.667 0.333 0.381
Te 0.000 0.000 0.177
Te 0.000 0.000 0.323
Te 0.000 0.000 0.677
Te 0.000 0.000 0.823
Te 0.333 0.667 0.060
Te 0.333 0.667 0.440
Te 0.667 0.333 0.560
Te 0.667 0.333 0.940

Relative stability in kJ/mol of atoms, measured from the most stable structure: 1 0.5; 2 0.0